# Sr2CoIrO PBE+U optimized geometry
data_Sr2CoIrO
_chemical_formula_sum 'Sr2 Co1 Ir1 O1'
_symmetry_space_group_name_H-M 'P 1'
_symmetry_Int_Tables_number 1
_symmetry_space_group_name_Hall 'P 1'
_cell_length_a 5.275
_cell_length_b 5.275
_cell_length_c 3.709
_cell_angle_alpha 90.00
_cell_angle_beta 90.00
_cell_angle_gamma 90.00
loop_
_atom_site_label
_atom_site_fract_x
_atom_site_fract_y
_atom_site_fract_z
Sr1 0.500 0.000 0.000
Sr2 0.000 0.500 0.000
Co1 0.000 0.000 0.500
Ir1 0.500 0.500 0.500
O1 0.000 0.000 0.000
# M_tot: 2.102 μB/cell
# DOS(E_F): 0.3490 states/eV/atom
# space group: P4/mmm (123)
# raw total energy: -5.08 eV per atom